# TbSmRuRh | Alexandria | PBE-GGA | optimized geometry
# Uncorrected energy   -0.51644 Ry per atom
# Energy relative to the lowest polymorph listed for this composition   0.0000 eV per atom
# Formation energy   -0.53 eV per atom
# Theoretical density   10.35 Mg/m³
data_TbSmRuRh
_cell_length_a 3.4565
_cell_length_b 3.4565
_cell_length_c 6.8945
_cell_angle_alpha 90.00
_cell_angle_beta 90.00
_cell_angle_gamma 90.00
_space_group_name_H-M_alt 'P 4 m m'
_space_group_IT_number 99
_space_group_name_Hall 'P 4 -2'
loop_
_atom_site_label
_atom_site_fract_x
_atom_site_fract_y
_atom_site_fract_z
Tb1 0.0000 0.0000 0.0000
Sm1 0.0000 0.0000 0.5074
Ru1 0.5000 0.5000 0.7577
Rh1 0.5000 0.5000 0.2485

# TbSmRuRh | Alexandria | PBE-GGA | optimized geometry
# Uncorrected energy   -0.51517 Ry per atom
# Energy relative to the lowest polymorph listed for this composition   0.0173 eV per atom
# Formation energy   -0.52 eV per atom
# Theoretical density   10.32 Mg/m³
data_TbSmRuRh
_cell_length_a 6.9137
_cell_length_b 6.9137
_cell_length_c 6.9137
_cell_angle_alpha 90.00
_cell_angle_beta 90.00
_cell_angle_gamma 90.00
_space_group_name_H-M_alt 'F -4 3 m'
_space_group_IT_number 216
_space_group_name_Hall 'F -4 2 3'
loop_
_atom_site_label
_atom_site_fract_x
_atom_site_fract_y
_atom_site_fract_z
Tb1 0.0000 0.0000 0.0000
Sm1 0.0000 0.0000 0.5000
Ru1 0.2500 0.2500 0.2500
Rh1 0.2500 0.2500 0.7500

# SmThRuRh | Alexandria | PBE-GGA | optimized geometry
# Uncorrected energy   -0.56784 Ry per atom
# Formation energy   -0.53 eV per atom
# Theoretical density   11.09 Mg/m³
data_SmThRuRh
_cell_length_a 7.0549
_cell_length_b 7.0549
_cell_length_c 7.0549
_cell_angle_alpha 90.00
_cell_angle_beta 90.00
_cell_angle_gamma 90.00
_space_group_name_H-M_alt 'F -4 3 m'
_space_group_IT_number 216
_space_group_name_Hall 'F -4 2 3'
loop_
_atom_site_label
_atom_site_fract_x
_atom_site_fract_y
_atom_site_fract_z
Sm1 0.0000 0.0000 0.0000
Th1 0.0000 0.0000 0.5000
Ru1 0.2500 0.2500 0.7500
Rh1 0.2500 0.2500 0.2500

# SmTmRuRh | Alexandria | PBE-GGA | optimized geometry
# Uncorrected energy   -0.51776 Ry per atom
# Energy relative to the lowest polymorph listed for this composition   0.0000 eV per atom
# Formation energy   -0.59 eV per atom
# Theoretical density   10.84 Mg/m³
data_SmTmRuRh
_cell_length_a 3.4246
_cell_length_b 3.4246
_cell_length_c 6.8370
_cell_angle_alpha 90.00
_cell_angle_beta 90.00
_cell_angle_gamma 90.00
_space_group_name_H-M_alt 'P 4 m m'
_space_group_IT_number 99
_space_group_name_Hall 'P 4 -2'
loop_
_atom_site_label
_atom_site_fract_x
_atom_site_fract_y
_atom_site_fract_z
Sm1 0.0000 0.0000 0.0000
Tm1 0.0000 0.0000 0.5081
Ru1 0.5000 0.5000 0.7459
Rh1 0.5000 0.5000 0.2647